Entry 1:
Entry from Alexandria via LeMat-Bulk: a relaxed TbPmScAg crystal (GGA-PBE).

Summary:
As for the density of states at the Fermi level: 21.46 states/eV per cell. Its formation energy is 0.11 eV per atom.

Cell lengths 7.435, 7.435, 7.435 Å; angles 90.00, 90.00, 90.00 degrees
Space group F-43m (No. 216)
Inequivalent atoms, fractional coordinates:
Tb 0.000 0.000 0.000 (multiplicity 4)
Pm 0.250 0.250 0.750 (multiplicity 4)
Sc 0.000 0.000 0.500 (multiplicity 4)
Ag 0.250 0.250 0.250 (multiplicity 4)


Entry 2:
Entry from Alexandria via LeMat-Bulk: a relaxed TbPmScAg crystal (GGA-PBE).

Summary:
As for the density of states at the Fermi level: 6.09 states/eV per cell. Its formation energy is -0.10 eV per atom.

Cell lengths 3.557, 3.557, 8.472 Å; angles 90.00, 90.00, 90.00 degrees
Space group P4mm (No. 99)
Inequivalent atoms, fractional coordinates:
Tb 0.000 0.000 0.000 (multiplicity 1)
Pm 0.500 0.500 0.307 (multiplicity 1)
Sc 0.000 0.000 0.587 (multiplicity 1)
Ag 0.500 0.500 0.769 (multiplicity 1)


Entry 3:
Entry from Alexandria via LeMat-Bulk: a relaxed PmScTcAg crystal (GGA-PBE).

Summary:
As for the density of states at the Fermi level: 12.85 states/eV per cell. Its formation energy is -0.07 eV per atom.

Cell lengths 6.932, 6.932, 6.932 Å; angles 90.00, 90.00, 90.00 degrees
Space group F-43m (No. 216)
Inequivalent atoms, fractional coordinates:
Pm 0.000 0.000 0.000 (multiplicity 4)
Sc 0.000 0.000 0.500 (multiplicity 4)
Tc 0.250 0.250 0.250 (multiplicity 4)
Ag 0.250 0.250 0.750 (multiplicity 4)